1.
# ZrGaCoOs

Crystalline ZrGaCoOs at its relaxed geometry (GGA-PBE, Alexandria).

abc: 4.407 4.407 4.407
angles: 60.00 60.00 60.00
Fractional positions:
Zr1 0.000 0.000 0.000
Ga1 0.500 0.500 0.500
Co1 0.250 0.250 0.250
Os1 0.750 0.750 0.750

Summary:
SG   No. 216
Density   11.249 g/cm3
Magnetic moment   0.0 Bohr magnetons per cell
Calculated formation energy   -32 kJ per mole of atoms
Density of states at the Fermi level   0.7 states/eV/cell
V   61 Å³ per cell

=====

2.
# Ga2CoP

Crystalline Ga2CoP at its relaxed geometry (GGA-PBE, Alexandria).

abc: 6.551 6.551 6.551
angles: 129.45 129.45 74.29
Fractional positions:
Ga1 0.118 0.625 0.993
Ga2 0.375 0.368 0.493
Ga3 0.632 0.125 0.007
Ga4 0.875 0.882 0.507
Co1 0.000 0.000 0.000
Co2 0.750 0.250 0.500
P1 0.250 0.750 0.500
P2 0.500 0.500 0.000

Summary:
SG   No. 122
Density   4.661 g/cm3
Magnetic moment   0.0 Bohr magnetons per cell
Calculated formation energy   34 kJ per mole of atoms
Density of states at the Fermi level   2.1 states/eV/cell
V   163 Å³ per cell

=====

3.
# GaCo2P

Crystalline GaCo2P at its relaxed geometry (GGA-PBE, Alexandria).

abc: 5.194 5.194 5.194
angles: 104.49 104.49 119.97
Fractional positions:
Ga1 0.000 0.000 0.000
Ga2 0.750 0.250 0.500
Co1 0.188 0.125 0.563
Co2 0.375 0.812 0.937
Co3 0.562 0.625 0.437
Co4 0.875 0.438 0.063
P1 0.250 0.750 0.500
P2 0.500 0.500 0.000

Summary:
SG   No. 122
Density   6.906 g/cm3
Magnetic moment   0.0 Bohr magnetons per cell
Calculated formation energy   -3 kJ per mole of atoms
Density of states at the Fermi level   4.0 states/eV/cell
Excess energy over the best structure of this formula in the dataset   98 meV/atom
V   105 Å³ per cell

=====

4.
# GaCo2P

Crystalline GaCo2P at its relaxed geometry (GGA-PBE, Alexandria).

abc: 4.028 4.028 4.028
angles: 60.00 60.00 60.00
Fractional positions:
Ga1 0.000 0.000 0.000
Co1 0.250 0.250 0.250
Co2 0.750 0.750 0.750
P1 0.500 0.500 0.500

Summary:
SG   No. 225
Density   7.855 g/cm3
Magnetic moment   1.6 Bohr magnetons per cell
Calculated formation energy   -13 kJ per mole of atoms
Density of states at the Fermi level   3.3 states/eV/cell
Excess energy over the best structure of this formula in the dataset   0 meV/atom
V   46 Å³ per cell

=====

5.
# PaGaCo5P2

Crystalline PaGaCo5P2 at its relaxed geometry (GGA-PBE, Alexandria).

abc: 3.858 3.858 7.749
angles: 90.00 90.00 90.00
Fractional positions:
Pa1 0.000 0.000 0.000
Ga1 0.000 0.000 0.500
Co1 0.000 0.500 0.288
Co2 0.000 0.500 0.712
Co3 0.500 0.000 0.288
Co4 0.500 0.000 0.712
Co5 0.500 0.500 0.500
P1 0.500 0.500 0.155
P2 0.500 0.500 0.845

Summary:
SG   No. 123
Density   9.463 g/cm3
Magnetic moment   2.0 Bohr magnetons per cell
Calculated formation energy   -57 kJ per mole of atoms
Density of states at the Fermi level   8.4 states/eV/cell
V   115 Å³ per cell

=====

6.
# PaGa2Co2P

Crystalline PaGa2Co2P at its relaxed geometry (GGA-PBE, Alexandria).

abc: 4.234 4.234 5.389
angles: 90.00 90.00 90.00
Fractional positions:
Pa1 0.000 0.000 0.000
Ga1 0.500 0.500 0.235
Ga2 0.500 0.500 0.765
Co1 0.000 0.500 0.500
Co2 0.500 0.000 0.500
P1 0.000 0.000 0.500

Summary:
SG   No. 123
Density   8.927 g/cm3
Magnetic moment   1.4 Bohr magnetons per cell
Calculated formation energy   -38 kJ per mole of atoms
Density of states at the Fermi level   9.8 states/eV/cell
V   97 Å³ per cell

=====

7.
# PmGa2Co2P

Crystalline PmGa2Co2P at its relaxed geometry (GGA-PBE, Alexandria).

abc: 4.236 4.236 5.531
angles: 90.00 90.00 90.00
Fractional positions:
Pm1 0.000 0.000 0.000
Ga1 0.500 0.500 0.238
Ga2 0.500 0.500 0.762
Co1 0.000 0.500 0.500
Co2 0.500 0.000 0.500
P1 0.000 0.000 0.500

Summary:
SG   No. 123
Density   7.249 g/cm3
Magnetic moment   0.5 Bohr magnetons per cell
Calculated formation energy   -48 kJ per mole of atoms
Density of states at the Fermi level   6.7 states/eV/cell
V   99 Å³ per cell

=====

8.
# RbGaCo2P

Crystalline RbGaCo2P at its relaxed geometry (GGA-PBE, Alexandria).

abc: 4.424 4.424 5.321
angles: 90.00 90.00 90.00
Fractional positions:
Rb1 0.000 0.000 0.000
Ga1 0.500 0.500 0.000
Co1 0.000 0.500 0.500
Co2 0.500 0.000 0.500
P1 0.500 0.500 0.500

Summary:
SG   No. 123
Density   4.848 g/cm3
Magnetic moment   2.8 Bohr magnetons per cell
Calculated formation energy   46 kJ per mole of atoms
Density of states at the Fermi level   4.6 states/eV/cell
V   104 Å³ per cell

=====

9.
# GaCoPS2

Crystalline GaCoPS2 at its relaxed geometry (GGA-PBE, Alexandria).

abc: 4.704 4.704 4.111
angles: 90.00 90.00 90.00
Fractional positions:
Ga1 0.000 0.000 0.000
Co1 0.500 0.500 0.500
P1 0.500 0.500 0.000
S1 0.000 0.500 0.500
S2 0.500 0.000 0.500

Summary:
SG   No. 123
Density   4.085 g/cm3
Magnetic moment   0.0 Bohr magnetons per cell
Density of states at the Fermi level   6.0 states/eV/cell
Excess energy over the best structure of this formula in the dataset   0 meV/atom
V   91 Å³ per cell

=====

10.
# GaCoP2S

Crystalline GaCoP2S at its relaxed geometry (GGA-PBE, Alexandria).

abc: 4.204 4.204 5.146
angles: 90.00 90.00 90.00
Fractional positions:
Ga1 0.000 0.000 0.000
Co1 0.500 0.500 0.500
P1 0.000 0.500 0.500
P2 0.500 0.000 0.500
S1 0.500 0.500 0.000

Summary:
SG   No. 123
Density   4.065 g/cm3
Magnetic moment   0.0 Bohr magnetons per cell
Density of states at the Fermi level   4.5 states/eV/cell
Excess energy over the best structure of this formula in the dataset   0 meV/atom
V   91 Å³ per cell

=====

11.
# SmGa2Co2P

Crystalline SmGa2Co2P at its relaxed geometry (GGA-PBE, Alexandria).

abc: 4.233 4.233 5.507
angles: 90.00 90.00 90.00
Fractional positions:
Sm1 0.000 0.000 0.000
Ga1 0.500 0.500 0.237
Ga2 0.500 0.500 0.763
Co1 0.000 0.500 0.500
Co2 0.500 0.000 0.500
P1 0.000 0.000 0.500

Summary:
SG   No. 123
Density   7.381 g/cm3
Magnetic moment   0.5 Bohr magnetons per cell
Calculated formation energy   -48 kJ per mole of atoms
Density of states at the Fermi level   6.7 states/eV/cell
V   99 Å³ per cell

=====

12.
# SrGa2Co2P

Crystalline SrGa2Co2P at its relaxed geometry (GGA-PBE, Alexandria).

abc: 4.253 4.253 5.845
angles: 90.00 90.00 90.00
Fractional positions:
Sr1 0.000 0.000 0.000
Ga1 0.500 0.500 0.253
Ga2 0.500 0.500 0.747
Co1 0.000 0.500 0.500
Co2 0.500 0.000 0.500
P1 0.000 0.000 0.500

Summary:
SG   No. 123
Density   5.904 g/cm3
Magnetic moment   0.0 Bohr magnetons per cell
Calculated formation energy   -36 kJ per mole of atoms
Density of states at the Fermi level   5.4 states/eV/cell
V   106 Å³ per cell

=====

13.
# SrGaCoP2

Crystalline SrGaCoP2 at its relaxed geometry (GGA-PBE, Alexandria).

abc: 4.625 4.625 4.580
angles: 90.00 90.00 90.00
Fractional positions:
Sr1 0.000 0.000 0.000
Ga1 0.500 0.500 0.000
Co1 0.500 0.500 0.500
P1 0.000 0.500 0.500
P2 0.500 0.000 0.500

Summary:
SG   No. 123
Density   4.716 g/cm3
Magnetic moment   0.7 Bohr magnetons per cell
Calculated formation energy   -18 kJ per mole of atoms
Density of states at the Fermi level   4.9 states/eV/cell
V   98 Å³ per cell

=====

14.
# Ga2CoTeP

Crystalline Ga2CoTeP at its relaxed geometry (GGA-PBE, Alexandria).

abc: 4.683 4.683 5.261
angles: 90.00 90.00 90.00
Fractional positions:
Ga1 0.000 0.500 0.000
Ga2 0.500 0.000 0.000
Co1 0.000 0.000 0.500
Te1 0.500 0.500 0.500
P1 0.500 0.500 0.000

Summary:
SG   No. 123
Density   5.138 g/cm3
Magnetic moment   1.9 Bohr magnetons per cell
Uncorrected energy   -3.551 eV/atom
Density of states at the Fermi level   3.0 states/eV/cell
V   115 Å³ per cell

=====

15.
# ThGa2Co2P

Crystalline ThGa2Co2P at its relaxed geometry (GGA-PBE, Alexandria).

abc: 4.253 4.253 5.581
angles: 90.00 90.00 90.00
Fractional positions:
Th1 0.000 0.000 0.000
Ga1 0.500 0.500 0.240
Ga2 0.500 0.500 0.760
Co1 0.000 0.500 0.500
Co2 0.500 0.000 0.500
P1 0.000 0.000 0.500

Summary:
SG   No. 123
Density   8.561 g/cm3
Magnetic moment   0.5 Bohr magnetons per cell
Calculated formation energy   -47 kJ per mole of atoms
Density of states at the Fermi level   7.7 states/eV/cell
V   101 Å³ per cell

=====

16.
# TmGa2Co2P

Crystalline TmGa2Co2P at its relaxed geometry (GGA-PBE, Alexandria).

abc: 4.216 4.216 5.358
angles: 90.00 90.00 90.00
Fractional positions:
Tm1 0.000 0.000 0.000
Ga1 0.500 0.500 0.235
Ga2 0.500 0.500 0.765
Co1 0.000 0.500 0.500
Co2 0.500 0.000 0.500
P1 0.000 0.000 0.500

Summary:
SG   No. 123
Density   7.973 g/cm3
Magnetic moment   0.2 Bohr magnetons per cell
Calculated formation energy   -44 kJ per mole of atoms
Density of states at the Fermi level   6.5 states/eV/cell
V   95 Å³ per cell

=====

17.
# U2GaCo12P3

Crystalline U2GaCo12P3 at its relaxed geometry (GGA-PBE, Alexandria).

abc: 6.191 6.191 6.191
angles: 81.65 81.65 81.65
Fractional positions:
U1 0.139 0.139 0.139
U2 0.861 0.861 0.861
Ga1 0.500 0.500 0.500
Co1 0.124 0.124 0.607
Co2 0.124 0.607 0.124
Co3 0.165 0.688 0.688
Co4 0.312 0.312 0.835
Co5 0.312 0.835 0.312
Co6 0.393 0.876 0.876
Co7 0.607 0.124 0.124
Co8 0.688 0.165 0.688
Co9 0.688 0.688 0.165
Co10 0.835 0.312 0.312
Co11 0.876 0.393 0.876
Co12 0.876 0.876 0.393
P1 0.000 0.500 0.500
P2 0.500 0.000 0.500
P3 0.500 0.500 0.000

Summary:
SG   No. 166
Density   9.699 g/cm3
Magnetic moment   3.9 Bohr magnetons per cell
Calculated formation energy   -14 kJ per mole of atoms
Density of states at the Fermi level   16.0 states/eV/cell
V   230 Å³ per cell

=====

18.
# U2GaCo4P3

Crystalline U2GaCo4P3 at its relaxed geometry (GGA-PBE, Alexandria).

abc: 3.844 3.844 9.526
angles: 90.00 90.00 90.00
Fractional positions:
U1 0.000 0.500 0.245
U2 0.500 0.000 0.755
Ga1 0.000 0.000 0.500
Co1 0.000 0.000 0.000
Co2 0.000 0.500 0.641
Co3 0.500 0.000 0.359
Co4 0.500 0.500 0.000
P1 0.000 0.500 0.872
P2 0.500 0.000 0.128
P3 0.500 0.500 0.500

Summary:
SG   No. 115
Density   10.315 g/cm3
Magnetic moment   3.3 Bohr magnetons per cell
Calculated formation energy   -68 kJ per mole of atoms
Density of states at the Fermi level   11.9 states/eV/cell
V   141 Å³ per cell

=====

19.
# UGaCo5P2

Crystalline UGaCo5P2 at its relaxed geometry (GGA-PBE, Alexandria).

abc: 3.701 3.701 9.497
angles: 90.00 90.00 90.00
Fractional positions:
U1 0.000 0.000 0.000
Ga1 0.000 0.000 0.500
Co1 0.000 0.500 0.338
Co2 0.000 0.500 0.662
Co3 0.500 0.000 0.338
Co4 0.500 0.000 0.662
Co5 0.500 0.500 0.000
P1 0.500 0.500 0.225
P2 0.500 0.500 0.775

Summary:
SG   No. 123
Density   8.479 g/cm3
Magnetic moment   1.7 Bohr magnetons per cell
Calculated formation energy   -28 kJ per mole of atoms
Density of states at the Fermi level   9.4 states/eV/cell
V   130 Å³ per cell

=====

20.
# YGa2Co2P

Crystalline YGa2Co2P at its relaxed geometry (GGA-PBE, Alexandria).

abc: 4.226 4.226 5.419
angles: 90.00 90.00 90.00
Fractional positions:
Y1 0.000 0.000 0.000
Ga1 0.500 0.500 0.236
Ga2 0.500 0.500 0.764
Co1 0.000 0.500 0.500
Co2 0.500 0.000 0.500
P1 0.000 0.000 0.500

Summary:
SG   No. 123
Density   6.473 g/cm3
Magnetic moment   0.3 Bohr magnetons per cell
Calculated formation energy   -47 kJ per mole of atoms
Density of states at the Fermi level   6.7 states/eV/cell
V   97 Å³ per cell

=====

21.
# PaGa3Co2

Crystalline PaGa3Co2 at its relaxed geometry (GGA-PBE, Alexandria).

abc: 7.022 7.022 7.022
angles: 51.44 51.44 51.44
Fractional positions:
Pa1 0.231 0.231 0.231
Pa2 0.769 0.769 0.769
Ga1 0.247 0.730 0.730
Ga2 0.270 0.270 0.753
Ga3 0.270 0.753 0.270
Ga4 0.730 0.247 0.730
Ga5 0.730 0.730 0.247
Ga6 0.753 0.270 0.270
Co1 0.000 0.000 0.000
Co2 0.000 0.500 0.500
Co3 0.500 0.000 0.500
Co4 0.500 0.500 0.000

Summary:
SG   No. 166
Density   9.479 g/cm3
Magnetic moment   0.6 Bohr magnetons per cell
Calculated formation energy   -19 kJ per mole of atoms
Density of states at the Fermi level   10.1 states/eV/cell
Excess energy over the best structure of this formula in the dataset   173 meV/atom
V   196 Å³ per cell

=====

22.
# Pa2Ga3Co

Crystalline Pa2Ga3Co at its relaxed geometry (GGA-PBE, Alexandria).

abc: 3.470 4.392 7.516
angles: 90.00 90.00 90.00
Fractional positions:
Pa1 0.000 0.000 0.000
Pa2 0.000 0.500 0.457
Ga1 0.500 0.000 0.633
Ga2 0.500 0.500 0.143
Ga3 0.500 0.500 0.804
Co1 0.500 0.000 0.298

Summary:
SG   No. 25
Density   10.585 g/cm3
Magnetic moment   0.0 Bohr magnetons per cell
Calculated formation energy   -39 kJ per mole of atoms
Density of states at the Fermi level   5.1 states/eV/cell
V   115 Å³ per cell

=====

23.
# Pa2GaCo4

Crystalline Pa2GaCo4 at its relaxed geometry (GGA-PBE, Alexandria).

abc: 6.972 6.972 6.972
angles: 142.85 142.85 53.54
Fractional positions:
Pa1 0.142 0.142 0.000
Pa2 0.858 0.858 0.000
Ga1 0.500 0.500 0.000
Co1 0.000 0.500 0.500
Co2 0.314 0.314 0.000
Co3 0.500 0.000 0.500
Co4 0.686 0.686 0.000

Summary:
SG   No. 139
Density   10.380 g/cm3
Magnetic moment   0.0 Bohr magnetons per cell
Calculated formation energy   8 kJ per mole of atoms
Density of states at the Fermi level   6.1 states/eV/cell
V   123 Å³ per cell

=====

24.
# PaGa9Co2

Crystalline PaGa9Co2 at its relaxed geometry (GGA-PBE, Alexandria).

abc: 8.115 8.115 8.115
angles: 102.01 102.01 125.72
Fractional positions:
Pa1 0.375 0.625 0.750
Pa2 0.625 0.375 0.250
Ga1 0.125 0.875 0.250
Ga2 0.137 0.565 0.330
Ga3 0.137 0.807 0.572
Ga4 0.193 0.265 0.330
Ga5 0.193 0.863 0.928
Ga6 0.265 0.193 0.830
Ga7 0.265 0.435 0.072
Ga8 0.435 0.265 0.572
Ga9 0.435 0.863 0.170
Ga10 0.565 0.137 0.830
Ga11 0.565 0.735 0.428
Ga12 0.735 0.565 0.928
Ga13 0.735 0.807 0.170
Ga14 0.807 0.137 0.072
Ga15 0.807 0.735 0.670
Ga16 0.863 0.193 0.428
Ga17 0.863 0.435 0.670
Ga18 0.875 0.125 0.750
Co1 0.000 0.000 0.000
Co2 0.000 0.000 0.500
Co3 0.000 0.500 0.000
Co4 0.500 0.000 0.500

Summary:
SG   No. 141
Density   8.399 g/cm3
Magnetic moment   0.1 Bohr magnetons per cell
Calculated formation energy   -13 kJ per mole of atoms
Density of states at the Fermi level   15.3 states/eV/cell
V   386 Å³ per cell